Entry 1
First-principles (PBE) data for crystalline NdBeOs at its relaxed geometry, as listed in Alexandria.

The calculation puts the density of states at the Fermi level at 6.1 states/eV per cell.

It has space group P4_12_12 (No. 92), with a = 6.5127 Å, b = 6.5127 Å, c = 5.6775 Å, α = 90.00°, β = 90.00° and γ = 90.00°. Symmetry generates all atoms from Nd at (0.2316, 0.2316, 0.0000), Be at (0.0777, 0.0777, 0.5000) and Os at (0.1724, 0.8276, 0.7500).

Entry 2
First-principles (PBE) data for crystalline NdBeOs at its relaxed geometry, as listed in Alexandria.

The calculation puts the density of states at the Fermi level at 2.2 states/eV per cell.

It has space group P-6m2 (No. 187), with a = 3.9995 Å, b = 3.9995 Å, c = 4.0894 Å, α = 90.00°, β = 90.00° and γ = 120.00°. Symmetry generates all atoms from Nd at (0.0000, 0.0000, 0.0000), Be at (0.3333, 0.6667, 0.5000) and Os at (0.6667, 0.3333, 0.5000).

Which structure wins on stability? entry 2 wins.

Entry 1
First-principles (PBE) data for crystalline NdBePd at its relaxed geometry, as listed in Alexandria.

The calculation puts the density of states at the Fermi level at 18.3 states/eV per cell.

It has space group Fmm2 (No. 42), with a = 6.9000 Å, b = 10.7547 Å, c = 6.0905 Å, α = 90.00°, β = 90.00° and γ = 90.00°. Symmetry generates all atoms from Nd at (0.0000, 0.2352, 0.0000), Be at (0.0000, 0.0000, 0.1719), Be at (0.0000, 0.0000, 0.5289) and Pd at (0.2057, 0.0000, 0.8271).

Entry 2
First-principles (PBE) data for crystalline NdBePd at its relaxed geometry, as listed in Alexandria.

The calculation puts the density of states at the Fermi level at 2.1 states/eV per cell.

It has space group P-6m2 (No. 187), with a = 4.1358 Å, b = 4.1358 Å, c = 4.0083 Å, α = 90.00°, β = 90.00° and γ = 120.00°. Symmetry generates all atoms from Nd at (0.0000, 0.0000, 0.0000), Be at (0.3333, 0.6667, 0.5000) and Pd at (0.6667, 0.3333, 0.5000).

Which structure wins on stability? entry 2 wins.

Entry 1
First-principles (PBE) data for crystalline PmNd2Be at its relaxed geometry, as listed in Alexandria.

The calculation puts the density of states at the Fermi level at 4.8 states/eV per cell.

It has space group P4/mmm (No. 123), with a = 3.5971 Å, b = 3.5971 Å, c = 8.7820 Å, α = 90.00°, β = 90.00° and γ = 90.00°. Symmetry generates all atoms from Pm at (0.0000, 0.0000, 0.0000), Nd at (0.5000, 0.5000, 0.3067) and Be at (0.0000, 0.0000, 0.5000).

Entry 2
First-principles (PBE) data for crystalline PmNd2Be at its relaxed geometry, as listed in Alexandria.

The calculation puts the density of states at the Fermi level at 15.6 states/eV per cell.

It has space group R-3m (No. 166, hexagonal axes), with a = 3.5287 Å, b = 3.5287 Å, c = 35.2750 Å, α = 90.00°, β = 90.00° and γ = 120.00°. Symmetry generates all atoms from Pm at (0.0000, 0.0000, 0.0000), Nd at (0.0000, 0.0000, 0.4164) and Be at (0.0000, 0.0000, 0.5000).

Which structure wins on stability? entry 1 wins.

Entry 1
First-principles (PBE) data for crystalline Pm2NdBe at its relaxed geometry, as listed in Alexandria.

The calculation puts the density of states at the Fermi level at 15.5 states/eV per cell.

It has space group R-3m (No. 166, hexagonal axes), with a = 3.5245 Å, b = 3.5245 Å, c = 35.1439 Å, α = 90.00°, β = 90.00° and γ = 120.00°. Symmetry generates all atoms from Pm at (0.0000, 0.0000, 0.0834), Nd at (0.0000, 0.0000, 0.5000) and Be at (0.0000, 0.0000, 0.0000).

Entry 2
First-principles (PBE) data for crystalline Pm2NdBe at its relaxed geometry, as listed in Alexandria.

The calculation puts the density of states at the Fermi level at 4.4 states/eV per cell.

It has space group P4/mmm (No. 123), with a = 3.5730 Å, b = 3.5730 Å, c = 8.7915 Å, α = 90.00°, β = 90.00° and γ = 90.00°. Symmetry generates all atoms from Pm at (0.0000, 0.0000, 0.1914), Nd at (0.5000, 0.5000, 0.5000) and Be at (0.5000, 0.5000, 0.0000).

Which structure wins on stability? entry 2 wins.

Entry 1
First-principles (PBE) data for crystalline NdBePt3 at its relaxed geometry, as listed in Alexandria.

The calculation puts the density of states at the Fermi level at 4.6 states/eV per cell.

It has space group P6_3/mmc (No. 194), with a = 5.9273 Å, b = 5.9273 Å, c = 5.6888 Å, α = 90.00°, β = 90.00° and γ = 120.00°. Symmetry generates all atoms from Nd at (0.3333, 0.6667, 0.2500), Be at (0.0000, 0.0000, 0.0000) and Pt at (0.1759, 0.3518, 0.7500).

Entry 2
First-principles (PBE) data for crystalline NdBePt3 at its relaxed geometry, as listed in Alexandria.

The calculation puts the density of states at the Fermi level at 3.5 states/eV per cell.

It has space group P2_1/m (No. 11), with a = 5.8613 Å, b = 5.7934 Å, c = 5.9072 Å, α = 90.00°, β = 119.55° and γ = 90.00°. Symmetry generates all atoms from Nd at (0.2427, 0.2500, 0.4873), Be at (0.0943, 0.7500, 0.1900), Pt at (0.2570, 0.9999, 0.0003) and Pt at (0.3126, 0.7500, 0.6237).

Entry 3
First-principles (PBE) data for crystalline NdBePt3 at its relaxed geometry, as listed in Alexandria.

The calculation puts the density of states at the Fermi level at 3.7 states/eV per cell.

It has space group Pm-3m (No. 221), with a = 4.4339 Å, b = 4.4339 Å, c = 4.4339 Å, α = 90.00°, β = 90.00° and γ = 90.00°. Symmetry generates all atoms from Nd at (0.0000, 0.0000, 0.0000), Be at (0.5000, 0.5000, 0.5000) and Pt at (0.0000, 0.5000, 0.5000).

Which structure wins on stability? entry 2 wins.

Entry 1
First-principles (PBE) data for crystalline NdBePt2 at its relaxed geometry, as listed in Alexandria.

The calculation puts the density of states at the Fermi level at 3.9 states/eV per cell.

It has space group P-1 (No. 2), with a = 5.4102 Å, b = 5.4617 Å, c = 6.0692 Å, α = 66.32°, β = 73.06° and γ = 60.34°. Symmetry generates all atoms from Nd at (0.2293, 0.3954, 0.2394), Be at (0.2239, 0.0077, 0.9933), Pt at (0.1443, 0.8974, 0.7045) and Pt at (0.4584, 0.2828, 0.7131).

Entry 2
First-principles (PBE) data for crystalline NdBePt2 at its relaxed geometry, as listed in Alexandria.

The calculation puts the density of states at the Fermi level at 7.5 states/eV per cell.

It has space group Cmcm (No. 63), with a = 3.9991 Å, b = 17.4071 Å, c = 4.1559 Å, α = 90.00°, β = 90.00° and γ = 90.00°. Symmetry generates all atoms from Nd at (0.0000, 0.1049, 0.2500), Be at (0.0000, 0.3159, 0.2500), Pt at (0.0000, 0.2503, 0.7500) and Pt at (0.0000, 0.4486, 0.2500).

Which structure wins on stability? entry 2 wins.